# 1
DFT (GGA-PBEsol) results for a relaxed structure of LiMn2In.

a b c (Å): 2.7407 4.3491 5.1679
angles (deg): 90.00 103.16 90.00
Space group P2/m (No. 10)
One atom of each set of equivalent atoms:
Li1 0.0000 0.0000 0.0000 (multiplicity 1)
Mn1 0.1734 0.5000 0.7733 (multiplicity 2)
In1 0.5000 0.0000 0.5000 (multiplicity 1)

Computed properties:
- Density of states at the Fermi level: 0.86 states/eV per atom
- ρ: 6.4 Mg/m³
- Uncorrected energy: -5.74 eV per atom

---

# 2
DFT (GGA-PBEsol) results for a relaxed structure of Li4MnIn.

a b c (Å): 7.2037 7.2037 7.2037
angles (deg): 90.00 90.00 90.00
Space group F-43m (No. 216)
One atom of each set of equivalent atoms:
Li1 0.1246 0.1246 0.1246 (multiplicity 16)
Mn1 0.2500 0.2500 0.7500 (multiplicity 4)
In1 0.0000 0.0000 0.5000 (multiplicity 4)

Computed properties:
- Density of states at the Fermi level: 0.16 states/eV per atom
- ρ: 3.5 Mg/m³
- Uncorrected energy: -3.32 eV per atom